Run P
CsP3Os | the Alexandria database | GGA-PBE | optimized geometry; crystal system = cubic; spin magnetization = 0.00 μB per cell
1.0
4.8047 0.0000 0.0000
0.0000 4.8047 0.0000
0.0000 0.0000 4.8047
Cs P Os
1 3 1
Direct
0.0000 0.0000 0.0000
0.0000 0.5000 0.5000
0.5000 0.0000 0.5000
0.5000 0.5000 0.0000
0.5000 0.5000 0.5000

=====

Run Q
CsP3Os | the Alexandria database | GGA-PBE | optimized geometry; crystal system = cubic; spin magnetization = 0.00 μB per cell
1.0
5.1143 0.0000 0.0000
0.0000 5.1143 0.0000
0.0000 0.0000 5.1143
Cs P Os
1 3 1
Direct
0.0000 0.0000 0.0000
0.0000 0.0000 0.5000
0.0000 0.5000 0.0000
0.5000 0.0000 0.0000
0.5000 0.5000 0.5000

=====

Here are the energies relative to the best structure, in eV/atom: run P 0.000; run Q 2.771.

=====

Run P
CsOs3Pd | the Alexandria database | GGA-PBE | optimized geometry; crystal system = cubic; spin magnetization = 4.81 μB per cell
1.0
4.8980 0.0000 0.0000
0.0000 4.8980 0.0000
0.0000 0.0000 4.8980
Cs Os Pd
1 3 1
Direct
0.0000 0.0000 0.0000
0.0000 0.0000 0.5000
0.0000 0.5000 0.0000
0.5000 0.0000 0.0000
0.5000 0.5000 0.5000

=====

Run Q
CsOs3Pd | the Alexandria database | GGA-PBE | optimized geometry; crystal system = cubic; spin magnetization = 7.92 μB per cell
1.0
5.0107 0.0000 0.0000
0.0000 5.0107 0.0000
0.0000 0.0000 5.0107
Cs Os Pd
1 3 1
Direct
0.0000 0.0000 0.0000
0.0000 0.5000 0.5000
0.5000 0.0000 0.5000
0.5000 0.5000 0.0000
0.5000 0.5000 0.5000

=====

Here are the energies relative to the best structure, in eV/atom: run P 1.350; run Q 0.000.

=====

Run P
CsOsPd3 | the Alexandria database | GGA-PBE | optimized geometry; crystal system = cubic; spin magnetization = 0.00 μB per cell
1.0
5.0028 0.0000 0.0000
0.0000 5.0028 0.0000
0.0000 0.0000 5.0028
Cs Os Pd
1 1 3
Direct
0.0000 0.0000 0.0000
0.5000 0.5000 0.5000
0.0000 0.5000 0.5000
0.5000 0.0000 0.5000
0.5000 0.5000 0.0000

=====

Run Q
CsOsPd3 | the Alexandria database | GGA-PBE | optimized geometry; crystal system = cubic; spin magnetization = 3.31 μB per cell
1.0
5.1505 0.0000 0.0000
0.0000 5.1505 0.0000
0.0000 0.0000 5.1505
Cs Os Pd
1 1 3
Direct
0.0000 0.0000 0.0000
0.5000 0.5000 0.5000
0.0000 0.0000 0.5000
0.0000 0.5000 0.0000
0.5000 0.0000 0.0000

=====

Here are the energies relative to the best structure, in eV/atom: run P 0.000; run Q 1.531.

=====

Run P
CsOs2Pd | the Alexandria database | GGA-PBE | optimized geometry; crystal system = tetragonal; spin magnetization = 0.00 μB per cell
1.0
-2.1547 2.1547 10.1524
2.1547 -2.1547 10.1524
2.1547 2.1547 -10.1524
Cs Os Pd
2 4 2
Direct
0.0000 0.0000 0.0000
0.7500 0.2500 0.5000
0.2545 0.1250 0.6295
0.3750 0.7455 0.8705
0.4955 0.6250 0.3705
0.8750 0.5045 0.1295
0.2500 0.7500 0.5000
0.5000 0.5000 0.0000

=====

Run Q
CsOs2Pd | the Alexandria database | GGA-PBE | optimized geometry; crystal system = cubic; spin magnetization = 0.00 μB per cell
1.0
0.0000 3.3172 3.3172
3.3172 0.0000 3.3172
3.3172 3.3172 0.0000
Cs Os Pd
1 2 1
Direct
0.0000 0.0000 0.0000
0.2500 0.2500 0.2500
0.7500 0.7500 0.7500
0.5000 0.5000 0.5000

=====

Here are the energies relative to the best structure, in eV/atom: run P 0.000; run Q 0.713.

=====

Run P
Cs2OsPt | the Alexandria database | GGA-PBE | optimized geometry; crystal system = tetragonal; spin magnetization = 3.29 μB per cell
1.0
-6.3246 6.3246 2.4362
6.3246 -6.3246 2.4362
6.3246 6.3246 -2.4362
Cs Os Pt
4 2 2
Direct
0.3750 0.2125 0.3375
0.7875 0.1250 0.1625
0.8750 0.0375 0.6625
0.9625 0.6250 0.8375
0.2500 0.7500 0.5000
0.5000 0.5000 0.0000
0.0000 0.0000 0.0000
0.7500 0.2500 0.5000

=====

Run Q
Cs2OsPt | the Alexandria database | GGA-PBE | optimized geometry; crystal system = cubic; spin magnetization = 3.99 μB per cell
1.0
0.0000 3.9389 3.9389
3.9389 0.0000 3.9389
3.9389 3.9389 0.0000
Cs Os Pt
2 1 1
Direct
0.2500 0.2500 0.2500
0.7500 0.7500 0.7500
0.0000 0.0000 0.0000
0.5000 0.5000 0.5000

=====

Here are the energies relative to the best structure, in eV/atom: run P 0.000; run Q 0.863.

=====

Run P
Cs2RbOs | the Alexandria database | GGA-PBE | optimized geometry; crystal system = cubic; spin magnetization = 1.46 μB per cell
1.0
0.0000 6.5341 6.5341
6.5341 0.0000 6.5341
6.5341 6.5341 0.0000
Cs Rb Os
4 2 2
Direct
0.0000 0.0000 0.0000
0.0000 0.0000 0.5000
0.0000 0.5000 0.0000
0.5000 0.0000 0.0000
0.3750 0.3750 0.3750
0.6250 0.6250 0.6250
0.1250 0.1250 0.1250
0.8750 0.8750 0.8750

=====

Run Q
Cs2RbOs | the Alexandria database | GGA-PBE | optimized geometry; crystal system = cubic; spin magnetization = 1.13 μB per cell
1.0
0.0000 4.3136 4.3136
4.3136 0.0000 4.3136
4.3136 4.3136 0.0000
Cs Rb Os
2 1 1
Direct
0.2500 0.2500 0.2500
0.7500 0.7500 0.7500
0.0000 0.0000 0.0000
0.5000 0.5000 0.5000

=====

Here are the energies relative to the best structure, in eV/atom: run P 0.087; run Q 0.000.